Computed, not measured: LiCoPO4 after structural relaxation at the PBE with a Hubbard U level of DFT.

Values from the calculation:
Energy in eV/cell: -184.2
V in Å³/atom: 13.71
Space-group type: No. 15
E above lowest polymorph in meV/atom: 66
Crystal system: monoclinic

a = 5.0556 Å, b = 5.0556 Å, c = 15.9498 Å
α = 88.17°, β = 91.83°, γ = 109.55°
Last column: magnetic moment on the atom in μB.
Positions (direct):
Li  0.2633  0.7465  0.7478  0.00
Li  0.2535  0.7367  0.2478  0.00
Li  0.7465  0.2633  0.7522  0.00
Li  0.7368  0.2535  0.2522  0.00
Co  0.9132  0.5918  0.5825  2.73
Co  0.4082  0.0868  0.0825  2.73
Co  0.5918  0.9132  0.9175  2.73
Co  0.0868  0.4082  0.4175  2.73
P  0.2428  0.2629  0.6286  0.01
P  0.2629  0.2427  0.8714  0.01
P  0.7371  0.7572  0.1286  0.01
P  0.7573  0.7371  0.3714  0.01
O  0.0914  0.3927  0.6904  0.04
O  0.6073  0.9086  0.1904  0.04
O  0.3927  0.0914  0.8096  0.04
O  0.9086  0.6073  0.3096  0.04
O  0.9400  0.1497  0.8605  0.04
O  0.8503  0.0600  0.3605  0.04
O  0.1496  0.9400  0.6395  0.04
O  0.0600  0.8503  0.1395  0.04
O  0.3898  0.5640  0.8566  0.04
O  0.4360  0.6102  0.3566  0.04
O  0.5640  0.3898  0.6434  0.04
O  0.6102  0.4360  0.1434  0.04
O  0.1498  0.3529  0.5405  0.07
O  0.6471  0.8502  0.0405  0.07
O  0.3529  0.1498  0.9595  0.07
O  0.8502  0.6471  0.4595  0.07